First-principles (GGA-PBE) data for NaCa3Zn after structural relaxation, as listed in the Alexandria database.

Cell lengths 9.4516, 4.0726, 10.0880 Å; angles 90.00, 115.16, 90.00 degrees
With the nearest neighbours (Å) after each atom.
Fractional positions:
Na: 0.0725 0.2500 0.3906  7 Ca 3.56-3.86, 2 Na 3.67
Na: 0.9275 0.7500 0.6094  7 Ca 3.56-3.86, 2 Na 3.67
Ca: 0.1710 0.2500 0.9578  2 Zn 3.15
Ca: 0.3379 0.7500 0.7159  3 Zn 3.08-3.13
Ca: 0.3494 0.7500 0.3229  1 Zn 3.22, 2 Na 3.60
Ca: 0.6506 0.2500 0.6771  1 Zn 3.22, 2 Na 3.60
Ca: 0.6621 0.2500 0.2841  3 Zn 3.08-3.13
Ca: 0.8290 0.7500 0.0422  2 Zn 3.15
Zn: 0.4521 0.7500 0.0565  2 Zn 2.67
Zn: 0.5479 0.2500 0.9435  2 Zn 2.67

Calculated values
ΔH_f (0 K)	-0.29	eV/f.u.
distance to the lowest polymorph of the same formula	0.000	eV/atom